No. 1
{"formula": "ErScTcRh", "functional": "PBE", "state": "optimized geometry", "lattice_angstrom": [[0.0000, 3.3105, 3.3105], [3.3105, 0.0000, 3.3105], [3.3105, 3.3105, 0.0000]], "species": ["Er", "Sc", "Tc", "Rh"], "fractional_positions": [[0.0000, 0.0000, 0.0000], [0.5000, 0.5000, 0.5000], [0.2500, 0.2500, 0.2500], [0.7500, 0.7500, 0.7500]], "final_energy_ev_per_atom": -7.601}

***

No. 2
{"formula": "ErTmSc2Rh4", "functional": "PBE", "state": "optimized geometry", "lattice_angstrom": [[2.3417, 1.3520, 7.6375], [-2.3417, 1.3520, 7.6375], [0.0000, -2.7040, 7.6375]], "species": ["Er", "Tm", "Sc", "Sc", "Rh", "Rh", "Rh", "Rh"], "fractional_positions": [[0.0000, 0.0000, 0.0000], [0.5000, 0.5000, 0.5000], [0.2498, 0.2498, 0.2498], [0.7502, 0.7502, 0.7502], [0.1252, 0.1252, 0.1252], [0.3752, 0.3752, 0.3752], [0.6248, 0.6248, 0.6248], [0.8748, 0.8748, 0.8748]], "final_energy_ev_per_atom": -7.362}

***

Result set for ΔE_f: -0.45; -0.97 eV per atom, one per record in the order listed.